1.
A plane-wave DFT calculation with GGA-PBE was carried out for crystalline Ce3TlRu at its relaxed geometry.

Summary:
- SG: Pm-3m, No. 221

abc: 5.325 5.325 5.325
angles: 90.00 90.00 90.00
Positions (direct):
Ce 0.000 0.000 0.500
Ce 0.000 0.500 0.000
Ce 0.500 0.000 0.000
Tl 0.500 0.500 0.500
Ru 0.000 0.000 0.000

2.
A plane-wave DFT calculation with GGA-PBE was carried out for crystalline CeTmTlRu at its relaxed geometry.

Summary:
- SG: P4mm, No. 99

abc: 3.372 3.372 8.347
angles: 90.00 90.00 90.00
Positions (direct):
Ce 0.000 0.000 0.000
Tm 0.000 0.000 0.591
Tl 0.500 0.500 0.305
Ru 0.500 0.500 0.791

3.
A plane-wave DFT calculation with GGA-PBE was carried out for crystalline CeTmTlRu at its relaxed geometry.

Summary:
- SG: F-43m, No. 216

abc: 5.115 5.115 5.115
angles: 60.00 60.00 60.00
Positions (direct):
Ce 0.000 0.000 0.000
Tm 0.500 0.500 0.500
Tl 0.750 0.750 0.750
Ru 0.250 0.250 0.250

4.
A plane-wave DFT calculation with GGA-PBE was carried out for crystalline CeYTlRu at its relaxed geometry.

Summary:
- SG: F-43m, No. 216

abc: 5.153 5.153 5.153
angles: 60.00 60.00 60.00
Positions (direct):
Ce 0.000 0.000 0.000
Y 0.500 0.500 0.500
Tl 0.250 0.250 0.250
Ru 0.750 0.750 0.750

5.
A plane-wave DFT calculation with GGA-PBE was carried out for crystalline CeYTlRu at its relaxed geometry.

Summary:
- SG: P4mm, No. 99

abc: 3.398 3.398 8.410
angles: 90.00 90.00 90.00
Positions (direct):
Ce 0.000 0.000 0.000
Y 0.000 0.000 0.409
Tl 0.500 0.500 0.698
Ru 0.500 0.500 0.203

6.
A plane-wave DFT calculation with GGA-PBE was carried out for crystalline Ce2TlZnRu at its relaxed geometry.

Summary:
- SG: P2_1/m, No. 11

abc: 8.155 3.901 8.157
angles: 90.00 110.40 90.00
Positions (direct):
Ce 0.001 0.250 0.287
Ce 0.339 0.250 0.102
Ce 0.661 0.750 0.898
Ce 0.999 0.750 0.713
Tl 0.318 0.250 0.684
Tl 0.682 0.750 0.316
Zn 0.364 0.750 0.434
Zn 0.636 0.250 0.566
Ru 0.115 0.750 0.129
Ru 0.885 0.250 0.871

7.
A plane-wave DFT calculation with GGA-PBE was carried out for crystalline CeTmRu at its relaxed geometry.

Summary:
- SG: I4mm, No. 107

abc: 6.936 6.936 6.936
angles: 152.02 152.02 39.98
Positions (direct):
Ce 0.000 0.000 0.000
Tm 0.740 0.740 0.000
Ru 0.368 0.368 0.000

8.
A plane-wave DFT calculation with GGA-PBE was carried out for crystalline Ce2TmRu3 at its relaxed geometry.

Summary:
- SG: P-3m1, No. 164

abc: 4.876 4.876 11.697
angles: 90.00 90.00 120.00
Positions (direct):
Ce 0.000 0.000 0.000
Ce 0.000 0.000 0.500
Ce 0.333 0.667 0.171
Ce 0.667 0.333 0.829
Tm 0.333 0.667 0.665
Tm 0.667 0.333 0.335
Ru 0.000 0.000 0.253
Ru 0.000 0.000 0.747
Ru 0.333 0.667 0.415
Ru 0.333 0.667 0.920
Ru 0.667 0.333 0.080
Ru 0.667 0.333 0.585

no.,calculated formation energy (kJ/mol of formula units)
1,-78
2,-154
3,-66
4,-62
5,-142
6,-145
7,-82
8,-219